Entry 1:
Density functional theory data (PBE) for crystalline Cu2AgBr at its relaxed geometry.

Properties
The energy above the most stable polymorph in this dataset comes out at 0 meV/atom. The symmetry is Pmmm (47).

Cell lengths 3.3718, 3.5322, 6.3200 Å; angles 89.98, 90.00, 90.00 degrees
Last column: nearest neighbours and their distance in Å.
Positions (direct):
Ag 0.5000 0.2500 0.2500  8 Cu 2.73
Br 0.5000 0.7500 0.7500  4 Cu 2.58
Cu 0.0000 0.7499 0.0581  1 Cu 2.43, 2 Br 2.58
Cu 0.0000 0.7501 0.4419  1 Cu 2.43, 2 Br 2.58

=====

Entry 2:
Density functional theory data (PBE) for crystalline Cu3Ag3Br8 at its relaxed geometry.

Properties
The symmetry is R-3m (166).

Cell lengths 8.0430, 8.0430, 8.0430 Å; angles 58.59, 58.59, 58.59 degrees
Last column: nearest neighbours and their distance in Å.
Positions (direct):
Cu 0.3721 0.3721 0.3721  4 Br 2.44-2.46
Cu 0.6279 0.6279 0.6279  4 Br 2.44-2.46
Cu 0.0000 0.0000 0.0000  6 Br 2.68
Ag 0.5000 0.0000 0.0000  6 Br 2.81-2.87
Ag 0.0000 0.5000 0.0000  6 Br 2.81-2.87
Ag 0.0000 0.0000 0.5000  6 Br 2.81-2.87
Br 0.7507 0.7507 0.7507  1 Cu 2.44
Br 0.2469 0.7616 0.7616  2 Cu 2.46-2.68
Br 0.7616 0.2469 0.7616  2 Cu 2.46-2.68
Br 0.7616 0.7616 0.2469  2 Cu 2.46-2.68
Br 0.2493 0.2493 0.2493  1 Cu 2.44
Br 0.7531 0.2384 0.2384  2 Cu 2.46-2.68
Br 0.2384 0.7531 0.2384  2 Cu 2.46-2.68
Br 0.2384 0.2384 0.7531  2 Cu 2.46-2.68

=====

no.,V (Å³/cell),uncorrected formation energy (eV per formula unit),Fermi-level density of states (states/eV per atom)
1,75.3,0.4,0.19
2,356.0,-3.9,1.20